[1]
VASP calculation (GGA-PBE) on a geometry-optimized Li2La2HoTl2 structure.

Its crystal system is trigonal. For the energy relative to the elements, the calculation gives -225 meV/atom.

It has space group R-3m (No. 166, hexagonal axes), with a = 4.8435 Å, b = 4.8435 Å, c = 26.8682 Å, α = 90.00°, β = 90.00° and γ = 120.00°. The asymmetric unit holds Li at (0.0000, 0.0000, 0.1044), La at (0.0000, 0.0000, 0.3645), Ho at (0.0000, 0.0000, 0.5000) and Tl at (0.0000, 0.0000, 0.2308).

[2]
VASP calculation (GGA-PBE) on a geometry-optimized LiLaHoZn structure.

Its crystal system is cubic. For the energy relative to the elements, the calculation gives -102 meV/atom.

It has space group F-43m (No. 216), with a = 7.4103 Å, b = 7.4103 Å, c = 7.4103 Å, α = 90.00°, β = 90.00° and γ = 90.00°. The asymmetric unit holds Li at (0.0000, 0.0000, 0.0000), La at (0.2500, 0.2500, 0.7500), Ho at (0.2500, 0.2500, 0.2500) and Zn at (0.0000, 0.0000, 0.5000).

[3]
VASP calculation (GGA-PBE) on a geometry-optimized La2HoLu structure.

Its crystal system is tetragonal. The value obtained for the energy relative to the lowest polymorph listed for this composition is 0.02 eV/f.u. For the energy relative to the elements, the calculation gives 25 meV/atom.

It has space group P4/mmm (No. 123), with a = 5.2317 Å, b = 5.2317 Å, c = 4.8905 Å, α = 90.00°, β = 90.00° and γ = 90.00°. The asymmetric unit holds La at (0.0000, 0.5000, 0.0000), Ho at (0.0000, 0.0000, 0.5000) and Lu at (0.5000, 0.5000, 0.5000).

[4]
VASP calculation (GGA-PBE) on a geometry-optimized La2HoLu structure.

Its crystal system is cubic. The value obtained for the energy relative to the lowest polymorph listed for this composition is 0.20 eV/f.u. For the energy relative to the elements, the calculation gives 70 meV/atom.

It has space group Fm-3m (No. 225), with a = 8.1592 Å, b = 8.1592 Å, c = 8.1592 Å, α = 90.00°, β = 90.00° and γ = 90.00°. The asymmetric unit holds La at (0.2500, 0.2500, 0.2500), Ho at (0.0000, 0.0000, 0.0000) and Lu at (0.0000, 0.0000, 0.5000).

[5]
VASP calculation (GGA-PBE) on a geometry-optimized La2HoLu structure.

Its crystal system is tetragonal. The value obtained for the energy relative to the lowest polymorph listed for this composition is 0.03 eV/f.u. For the energy relative to the elements, the calculation gives 27 meV/atom.

It has space group P4/mmm (No. 123), with a = 3.7299 Å, b = 3.7299 Å, c = 9.6630 Å, α = 90.00°, β = 90.00° and γ = 90.00°. The asymmetric unit holds La at (0.0000, 0.0000, 0.2469), Ho at (0.5000, 0.5000, 0.5000) and Lu at (0.5000, 0.5000, 0.0000).

[6]
VASP calculation (GGA-PBE) on a geometry-optimized LaHoLu structure.

Its crystal system is hexagonal. The value obtained for the energy relative to the lowest polymorph listed for this composition is 0.14 eV/f.u. For the energy relative to the elements, the calculation gives 85 meV/atom.

It has space group P-6m2 (No. 187), with a = 5.6591 Å, b = 5.6591 Å, c = 3.4791 Å, α = 90.00°, β = 90.00° and γ = 120.00°. The asymmetric unit holds La at (0.0000, 0.0000, 0.0000), Ho at (0.3333, 0.6667, 0.0000) and Lu at (0.6667, 0.3333, 0.5000).

[7]
VASP calculation (GGA-PBE) on a geometry-optimized LaHoLu2 structure.

Its crystal system is cubic. The value obtained for the energy relative to the lowest polymorph listed for this composition is 0.16 eV/f.u. For the energy relative to the elements, the calculation gives 84 meV/atom.

It has space group Fm-3m (No. 225), with a = 8.0070 Å, b = 8.0070 Å, c = 8.0070 Å, α = 90.00°, β = 90.00° and γ = 90.00°. The asymmetric unit holds La at (0.0000, 0.0000, 0.0000), Ho at (0.0000, 0.0000, 0.5000) and Lu at (0.2500, 0.2500, 0.2500).

[8]
VASP calculation (GGA-PBE) on a geometry-optimized La2HoLu structure.

Its crystal system is trigonal. The value obtained for the energy relative to the lowest polymorph listed for this composition is 0.00 eV/f.u. For the energy relative to the elements, the calculation gives 19 meV/atom.

It has space group R-3m (No. 166, hexagonal axes), with a = 3.6351 Å, b = 3.6351 Å, c = 34.8291 Å, α = 90.00°, β = 90.00° and γ = 120.00°. The asymmetric unit holds La at (0.0000, 0.0000, 0.2493), Ho at (0.0000, 0.0000, 0.0000) and Lu at (0.0000, 0.0000, 0.5000).

[9]
VASP calculation (GGA-PBE) on a geometry-optimized LaHoLu2 structure.

Its crystal system is tetragonal. The value obtained for the energy relative to the lowest polymorph listed for this composition is 0.00 eV/f.u. For the energy relative to the elements, the calculation gives 44 meV/atom.

It has space group P4/mmm (No. 123), with a = 5.0726 Å, b = 5.0726 Å, c = 4.9405 Å, α = 90.00°, β = 90.00° and γ = 90.00°. The asymmetric unit holds La at (0.0000, 0.0000, 0.0000), Ho at (0.5000, 0.5000, 0.0000) and Lu at (0.0000, 0.5000, 0.5000).

[10]
VASP calculation (GGA-PBE) on a geometry-optimized LaHoLu2 structure.

Its crystal system is tetragonal. The value obtained for the energy relative to the lowest polymorph listed for this composition is 0.16 eV/f.u. For the energy relative to the elements, the calculation gives 83 meV/atom.

It has space group P4/mmm (No. 123), with a = 4.0442 Å, b = 4.0442 Å, c = 7.8599 Å, α = 90.00°, β = 90.00° and γ = 90.00°. The asymmetric unit holds La at (0.0000, 0.0000, 0.0000), Ho at (0.0000, 0.0000, 0.5000) and Lu at (0.5000, 0.5000, 0.2641).

[11]
VASP calculation (GGA-PBE) on a geometry-optimized LaHoLu structure.

Its crystal system is tetragonal. The value obtained for the energy relative to the lowest polymorph listed for this composition is 0.00 eV/f.u. For the energy relative to the elements, the calculation gives 39 meV/atom.

It has space group I4mm (No. 107), with a = 3.5916 Å, b = 3.5916 Å, c = 15.1253 Å, α = 90.00°, β = 90.00° and γ = 90.00°. The asymmetric unit holds La at (0.0000, 0.0000, 0.0000), Ho at (0.0000, 0.0000, 0.3285) and Lu at (0.0000, 0.0000, 0.6695).

[12]
VASP calculation (GGA-PBE) on a geometry-optimized LaHoLuPb structure.

Its crystal system is cubic. For the energy relative to the elements, the calculation gives -139 meV/atom.

It has space group F-43m (No. 216), with a = 7.8508 Å, b = 7.8508 Å, c = 7.8508 Å, α = 90.00°, β = 90.00° and γ = 90.00°. The asymmetric unit holds La at (0.0000, 0.0000, 0.0000), Ho at (0.0000, 0.0000, 0.5000), Lu at (0.2500, 0.2500, 0.2500) and Pb at (0.2500, 0.2500, 0.7500).